No. 1
DFT (PBE) results for crystalline CePm2NpO8 at its relaxed geometry.

Calculated volume (Å³/atom): 13.53
Space-group type: P2/m (10)
Formation energy without anion corrections (kcal/mol of atoms): -74.82
Calculated density (Mg/m³): 8.1

Unit cell a=3.869 b=7.645 c=5.493 alpha=90.00 beta=91.92 gamma=90.00
Sites, in units of the cell vectors:
1 Ce 0.000 0.000 0.000
2 Pm 0.500 0.252 0.500
3 Pm 0.500 0.748 0.500
4 Np 0.000 0.500 0.000
5 O 0.014 0.271 0.767
6 O 0.014 0.729 0.767
7 O 0.480 0.500 0.224
8 O 0.490 0.000 0.242
9 O 0.510 0.000 0.758
10 O 0.520 0.500 0.776
11 O 0.986 0.271 0.233
12 O 0.986 0.729 0.233

---

No. 2
DFT (PBE) results for crystalline Tb8PrTm5 at its relaxed geometry.

Calculated volume (Å³/atom): 32.70
Space-group type: I-4 (82)
ΔE_f (eV per atom): 0.25
Calculated density (Mg/m³): 8.2

Unit cell a=8.421 b=8.421 c=8.421 alpha=111.69 beta=111.69 gamma=105.12
Sites, in units of the cell vectors:
1 Tb 0.170 0.409 0.583
2 Tb 0.323 0.217 0.247
3 Tb 0.413 0.830 0.239
4 Tb 0.591 0.174 0.761
5 Tb 0.783 0.029 0.106
6 Tb 0.826 0.587 0.417
7 Tb 0.924 0.677 0.894
8 Tb 0.971 0.076 0.753
9 Pr 0.500 0.500 0.000
10 Tm 0.065 0.471 0.179
11 Tm 0.115 0.935 0.406
12 Tm 0.291 0.885 0.821
13 Tm 0.529 0.709 0.594
14 Tm 0.750 0.250 0.500

---

No. 3
DFT (PBE) results for crystalline CaAc2Pb at its relaxed geometry.

Calculated volume (Å³/atom): 40.77
Space-group type: R3m (160)
Energy relative to the lowest polymorph listed for this composition (meV/atom): 176
ΔE_f (eV per atom): -0.08
Calculated density (Mg/m³): 7.1

Unit cell a=12.492 b=12.492 c=12.492 alpha=18.03 beta=18.03 gamma=18.03
Sites, in units of the cell vectors:
1 Ca 0.000 0.000 0.000
2 Ac 0.577 0.577 0.577
3 Ac 0.757 0.757 0.757
4 Pb 0.167 0.167 0.167

---

no.,magnetic moment (Bohr magnetons per cell)
1,1.0
2,0.0
3,0.0